No. 1
A plane-wave DFT calculation with PBE was carried out for an optimized crystal structure of LaW.

```
LaW
1.0
-3.883 2.917 -8.274
1.126 -3.200 8.974
-0.056 4.677 1.675
La W
3 3
direct
0.242 0.758 0.500
0.985 0.015 0.000
0.653 0.347 0.000
0.338 0.662 0.000
0.550 0.450 0.500
0.900 0.100 0.500
```

The calculation puts the total DFT energy (no corrections) at -48.01 eV/cell. The calculated density is 11931 kg/m³. The calculation puts the formation energy from the elements at 0.938 eV per atom. As for the total magnetization: 0.00 μB per atom. Its volume is 134.75 Å³/cell. The space-group type is Amm2.

No. 2
A plane-wave DFT calculation with PBE was carried out for an optimized crystal structure of HoLuMgRu.

```
HoLuMgRu
1.0
-2.546 3.972 -1.532
-1.402 0.369 -4.744
-4.790 -0.440 -1.212
Lu Ru Mg Ho
1 1 1 1
direct
0.000 0.000 0.000
0.750 0.750 0.750
0.250 0.250 0.250
0.500 0.500 0.500
```

The calculation puts the total DFT energy (no corrections) at -20.90 eV/cell. The calculated density is 8952 kg/m³. The calculation puts the formation energy from the elements at -0.233 eV per atom. As for the total magnetization: 0.00 μB per atom. Its volume is 86.30 Å³/cell. The space-group type is F-43m.

No. 3
A plane-wave DFT calculation with PBE was carried out for an optimized crystal structure of Sm4SbC2.

```
Sm4SbC2
1.0
-1.127 -2.475 -2.871
2.316 -3.697 5.002
-11.957 -0.526 5.148
Sm Sb C
8 2 4
direct
0.236 0.472 0.896
0.920 0.839 0.750
0.500 0.000 0.500
0.080 0.161 0.250
0.764 0.528 0.396
0.236 0.472 0.604
0.764 0.528 0.104
0.500 0.000 0.000
0.607 0.214 0.750
0.393 0.786 0.250
0.862 0.725 0.558
0.138 0.275 0.442
0.862 0.725 0.942
0.138 0.275 0.058
```

The calculation puts the total DFT energy (no corrections) at -88.86 eV/cell. The calculated density is 7601 kg/m³. As for the total magnetization: 0.00 μB per atom. Its volume is 326.48 Å³/cell. The space-group type is Cmcm.

No. 4
A plane-wave DFT calculation with PBE was carried out for an optimized crystal structure of Er6Tl2In.

```
Er6Tl2In
1.0
-4.272 2.272 -1.726
-2.759 -0.086 6.719
6.638 5.817 -1.127
Er In Tl
6 1 2
direct
0.834 0.584 0.668
0.500 0.751 0.000
0.166 0.416 0.332
0.500 0.249 0.000
0.166 0.917 0.332
0.834 0.083 0.668
0.000 0.000 0.000
0.667 0.667 0.334
0.333 0.333 0.666
```

The calculation puts the total DFT energy (no corrections) at -35.30 eV/cell. The calculated density is 8819 kg/m³. The calculation puts the formation energy from the elements at -0.051 eV per atom. As for the total magnetization: 0.00 μB per atom. Its volume is 287.53 Å³/cell. The space-group type is Immm.

No. 5
A plane-wave DFT calculation with PBE was carried out for an optimized crystal structure of ZnH.

```
ZnH
1.0
5.016 0.000 0.000
0.000 4.610 0.000
0.000 0.000 8.519
H Zn
8 8
direct
0.958 0.982 0.490
0.085 0.452 0.321
0.458 0.518 0.510
0.915 0.952 0.179
0.415 0.548 0.821
0.585 0.048 0.679
0.542 0.018 0.990
0.042 0.482 0.010
0.426 0.528 0.310
0.354 0.970 0.834
0.854 0.530 0.166
0.646 0.470 0.666
0.926 0.972 0.690
0.074 0.472 0.810
0.574 0.028 0.190
0.146 0.030 0.334
```

The calculation puts the total DFT energy (no corrections) at -34.33 eV/cell. The calculated density is 4478 kg/m³. As for the total magnetization: 0.00 μB per atom. Its volume is 197.03 Å³/cell. The space-group type is P2_12_12_1.

No. 6
A plane-wave DFT calculation with PBE was carried out for an optimized crystal structure of NaNpBeO6.

```
NaNpBeO6
1.0
-4.391 -1.726 -1.674
2.212 -2.177 3.928
-5.099 6.627 6.543
Be O Np Na
2 12 2 2
direct
0.667 0.333 0.250
0.333 0.667 0.750
0.624 0.644 0.651
0.019 0.376 0.651
0.981 0.356 0.151
0.376 0.356 0.349
0.644 0.019 0.349
0.644 0.624 0.151
0.356 0.376 0.849
0.981 0.624 0.349
0.019 0.644 0.849
0.376 0.019 0.151
0.356 0.981 0.651
0.624 0.981 0.849
0.333 0.667 0.250
0.667 0.333 0.750
0.000 0.000 0.500
0.000 0.000 0.000
```

The calculation puts the total DFT energy (no corrections) at -127.98 eV/cell. The calculated density is 5261 kg/m³. As for the total magnetization: 0.20 μB per atom. Its volume is 230.42 Å³/cell. The space-group type is P-31c.

No. 7
A plane-wave DFT calculation with PBE was carried out for an optimized crystal structure of CoRe2Si.

```
CoRe2Si
1.0
-0.430 -1.101 -2.562
-1.297 -2.216 1.170
-5.714 3.138 -0.390
Si Co Re
1 1 2
direct
0.000 0.000 0.523
0.500 0.500 0.714
0.500 0.500 0.270
0.000 0.000 0.993
```

The calculation puts the total DFT energy (no corrections) at -37.94 eV/cell. The calculated density is 14679 kg/m³. As for the total magnetization: 0.13 μB per atom. Its volume is 51.97 Å³/cell. The space-group type is P4mm.

No. 8
A plane-wave DFT calculation with PBE was carried out for an optimized crystal structure of SbRuI2N.

```
SbRuI2N
1.0
-2.396 4.116 -0.265
-0.533 -0.612 -4.700
-4.135 -2.357 0.776
I Ru Sb N
2 1 1 1
direct
0.000 0.500 0.000
0.500 0.000 0.000
0.500 0.500 0.500
0.000 0.000 0.500
0.000 0.000 0.000
```

The calculation puts the total DFT energy (no corrections) at -17.57 eV/cell. The calculated density is 7426 kg/m³. As for the total magnetization: 0.33 μB per atom. Its volume is 109.71 Å³/cell. The space-group type is P4/mmm.